Entry 1:
A geometry-optimized Li2ScCo structure, computed with GGA-PBE.

Summary:
theoretical density = 3.18 Mg/m³
DFT formation energy = 51 meV per atom
D(E_F) = 2.862 states/eV/cell
crystal system = tetragonal
energy above the lowest structure with this stoichiometry = 19.8 meV per atom

Geometry as extended XYZ:
```
4
Lattice="5.4066 0.0090 0.0000 3.0188 4.4853 0.0000 -4.2127 -2.2471 2.5367" Properties=species:S:1:pos:R:3 pbc="T T T"
Co 2.7033 0.0045 1.2684
Li 0.0000 0.0000 0.0000
Li 4.2127 2.2471 0.0000
Sc 1.5094 2.2427 1.2684
```



Entry 2:
A geometry-optimized Li4ScCo structure, computed with GGA-PBE.

Summary:
theoretical density = 2.34 Mg/m³
DFT formation energy = 296 meV per atom
D(E_F) = 6.793 states/eV/cell
crystal system = cubic

Geometry as extended XYZ:
```
6
Lattice="0.0000 3.6025 3.6025 3.6025 0.0000 3.6025 3.6025 3.6025 0.0000" Properties=species:S:1:pos:R:3 pbc="T T T"
Li 2.6855 4.5195 4.5195
Li 4.5195 4.5195 2.6855
Li 4.5195 2.6855 4.5195
Li 2.6855 2.6855 2.6855
Sc 5.4037 5.4037 5.4037
Co 0.0000 0.0000 0.0000
```



Entry 3:
A geometry-optimized LiScCo2 structure, computed with GGA-PBE.

Summary:
theoretical density = 5.03 Mg/m³
DFT formation energy = 35 meV per atom
D(E_F) = 3.210 states/eV/cell
crystal system = monoclinic
energy above the lowest structure with this stoichiometry = 4.5 meV per atom

Geometry as extended XYZ:
```
4
Lattice="4.9908 0.0094 0.0071 3.9938 2.9930 0.0071 1.7701 0.5915 3.7679" Properties=species:S:1:pos:R:3 pbc="T T T"
Co 1.9454 0.6501 3.6757
Co 7.9265 2.6488 2.9102
Li 5.2536 1.7556 1.9554
Sc 2.7766 0.9279 0.8998
```



Entry 4:
A geometry-optimized LiSc2Co structure, computed with GGA-PBE.

Summary:
theoretical density = 2.99 Mg/m³
DFT formation energy = 1 meV per atom
D(E_F) = 1.737 states/eV/cell
crystal system = monoclinic

Geometry as extended XYZ:
```
4
Lattice="3.5758 0.0161 -0.0074 1.8045 3.0871 -0.0074 1.7086 0.9855 7.8615" Properties=species:S:1:pos:R:3 pbc="T T T"
Co 1.7722 1.0222 1.9616
Li 5.3166 3.0665 5.8849
Sc 5.3660 3.0949 0.5693
Sc 3.5587 2.0526 3.3391
```



Entry 5:
A geometry-optimized Li2ScCo2 structure, computed with GGA-PBE.

Summary:
theoretical density = 4.25 Mg/m³
DFT formation energy = 274 meV per atom
D(E_F) = 14.888 states/eV/cell
crystal system = tetragonal
energy above the lowest structure with this stoichiometry = 102.9 meV per atom

Geometry as extended XYZ:
```
10
Lattice="-1.9956 -2.9597 -5.9464 6.4780 -2.2394 -1.0594 -0.6080 -2.4267 1.4119" Properties=species:S:1:pos:R:3 pbc="T T T"
Sc 0.0000 0.0000 0.0000
Sc 2.2412 -2.5995 -3.5029
Co 4.9471 -3.1009 -3.1995
Co 2.2511 -3.9937 -5.8949
Co -0.4647 -2.0981 -3.8064
Co 2.2313 -1.2054 -1.1109
Li 3.6994 -3.2197 -1.0185
Li 3.7311 -5.0554 -4.1601
Li 0.1750 -4.4061 -4.5754
Li 0.1433 -2.5703 -1.4339
```



Entry 6:
A geometry-optimized LiSc2Co structure, computed with GGA-PBE.

Summary:
theoretical density = 3.84 Mg/m³
DFT formation energy = -77 meV per atom
D(E_F) = 3.182 states/eV/cell
crystal system = tetragonal

Geometry as extended XYZ:
```
4
Lattice="-0.2891 4.2176 1.6747 -2.1415 0.7787 -2.3308 -3.4161 -1.3069 2.7017" Properties=species:S:1:pos:R:3 pbc="T T T"
Co -2.6194 -0.0035 -0.4432
Li -4.4718 1.4519 1.7448
Sc -3.2568 -1.0461 2.0723
Sc -1.6935 1.7162 1.5588
```



Entry 7:
A geometry-optimized Li2ScCo structure, computed with GGA-PBE.

Summary:
theoretical density = 2.96 Mg/m³
DFT formation energy = 362 meV per atom
D(E_F) = 3.389 states/eV/cell
crystal system = tetragonal
energy above the lowest structure with this stoichiometry = 330.4 meV per atom

Geometry as extended XYZ:
```
4
Lattice="2.7002 0.0000 0.0000 0.0000 2.7002 0.0000 0.0000 0.0000 9.0463" Properties=species:S:1:pos:R:3 pbc="T T T"
Co 1.3501 1.3501 6.7847
Li 0.0000 0.0000 8.6651
Li 0.0000 0.0000 4.9044
Sc 1.3501 1.3501 2.2616
```



Entry 8:
A geometry-optimized Li2ScCo structure, computed with GGA-PBE.

Summary:
theoretical density = 3.10 Mg/m³
DFT formation energy = 118 meV per atom
D(E_F) = 2.415 states/eV/cell
crystal system = monoclinic
energy above the lowest structure with this stoichiometry = 86.8 meV per atom

Geometry as extended XYZ:
```
4
Lattice="-1.4299 -2.8754 3.7623 -1.9292 -1.4674 -1.8547 2.7634 -2.9272 -1.1869" Properties=species:S:1:pos:R:3 pbc="T T T"
Co -0.0893 -4.7336 -0.4001
Li 0.8107 -4.2520 -2.9416
Li 0.4407 -2.3398 -1.6208
Sc -0.5064 -2.5363 1.1207
```



Entry 9:
A geometry-optimized LiScCo2 structure, computed with GGA-PBE.

Summary:
theoretical density = 5.04 Mg/m³
DFT formation energy = 306 meV per atom
D(E_F) = 9.239 states/eV/cell
crystal system = tetragonal
energy above the lowest structure with this stoichiometry = 275.4 meV per atom

Geometry as extended XYZ:
```
8
Lattice="-0.3497 -2.1739 -6.3057 -5.3839 -3.6353 1.5519 -4.3459 -0.9646 -2.9637" Properties=species:S:1:pos:R:3 pbc="T T T"
Sc 0.0000 0.0000 0.0000
Sc -3.7812 -3.0216 -5.8232
Co -1.9698 -2.0031 -4.3395
Co -4.5034 -2.8362 -0.7077
Co -5.5363 -2.9875 -3.9689
Co -8.1495 -5.7209 -6.4189
Li -2.8668 -2.9046 -2.3769
Li -6.2983 -3.7523 -1.8944
```



Entry 10:
A geometry-optimized LiSc4Co structure, computed with GGA-PBE.

Summary:
theoretical density = 3.07 Mg/m³
DFT formation energy = 634 meV per atom
D(E_F) = 6.549 states/eV/cell
crystal system = cubic

Geometry as extended XYZ:
```
6
Lattice="0.0000 4.0493 4.0493 4.0493 0.0000 4.0493 4.0493 4.0493 0.0000" Properties=species:S:1:pos:R:3 pbc="T T T"
Li 0.0000 0.0000 0.0000
Sc 3.0475 5.0511 5.0511
Sc 5.0511 5.0511 3.0475
Sc 5.0511 3.0475 5.0511
Sc 3.0475 3.0475 3.0475
Co 6.0740 6.0740 6.0740
```



Entry 11:
A geometry-optimized LiSc6Co5 structure, computed with GGA-PBE.

Summary:
theoretical density = 5.06 Mg/m³
DFT formation energy = -288 meV per atom
D(E_F) = 7.197 states/eV/cell
crystal system = monoclinic

Geometry as extended XYZ:
```
12
Lattice="4.2733 0.0205 -1.2425 -0.8619 5.5182 -2.8740 -0.0601 0.4340 7.7170" Properties=species:S:1:pos:R:3 pbc="T T T"
Sc 3.0079 3.4801 2.3994
Sc 3.4324 0.7616 3.8154
Sc 1.4981 4.0988 -2.7507
Sc 1.8532 1.8738 6.3511
Sc -0.0811 5.2110 -0.2149
Sc 0.3434 2.4925 1.2011
Co 2.6846 1.0767 1.2625
Co 1.0996 2.1403 3.7811
Co -0.4310 2.7591 -1.4370
Co 2.2517 3.8323 -0.1806
Co 0.6667 4.8959 2.3380
Li 0.0000 0.0000 0.0000
```



Entry 12:
A geometry-optimized LiSc2Co structure, computed with GGA-PBE.

Summary:
theoretical density = 3.45 Mg/m³
DFT formation energy = 262 meV per atom
D(E_F) = 3.661 states/eV/cell
crystal system = tetragonal

Geometry as extended XYZ:
```
4
Lattice="5.6631 -3.0795 3.6548 -3.4284 5.4589 -3.6548 1.7940 -3.9239 6.0246" Properties=species:S:1:pos:R:3 pbc="T T T"
Li 0.0000 0.0000 0.0000
Sc 4.9449 -4.6441 6.4186
Sc 2.5121 -2.3593 3.2608
Co 3.7285 -3.5017 4.8397
```



Entry 13:
A geometry-optimized LiScCo2Se structure, computed with GGA-PBE.

Summary:
theoretical density = 5.58 Mg/m³
D(E_F) = 5.018 states/eV/cell
crystal system = tetragonal
formation energy without anion corrections = 0.29 eV/atom

Geometry as extended XYZ:
```
5
Lattice="-2.8618 0.8786 2.7813 -1.5862 -4.1302 -0.3274 2.5245 -1.2056 2.9784" Properties=species:S:1:pos:R:3 pbc="T T T"
Sc -0.9618 -2.2286 2.7162
Co 1.2622 -0.6028 1.4892
Co -1.4309 0.4393 1.3906
Se -0.7931 -2.0651 -0.1637
Li 0.0000 0.0000 0.0000
```



Entry 14:
A geometry-optimized LiScCoSi structure, computed with GGA-PBE.

Summary:
theoretical density = 4.35 Mg/m³
D(E_F) = 5.200 states/eV/cell
crystal system = cubic
formation energy without anion corrections = -0.48 eV/atom

Geometry as extended XYZ:
```
4
Lattice="4.2159 0.0000 0.0000 2.1079 3.6510 0.0000 2.1079 1.2170 3.4422" Properties=species:S:1:pos:R:3 pbc="T T T"
Sc 2.1079 1.2170 0.8606
Si 6.3238 3.6510 2.5817
Co 0.0000 0.0000 0.0000
Li 4.2159 2.4340 1.7211
```



Entry 15:
A geometry-optimized LiSmScCo structure, computed with GGA-PBE.

Summary:
theoretical density = 5.67 Mg/m³
DFT formation energy = -52 meV per atom
D(E_F) = 3.362 states/eV/cell
crystal system = cubic

Geometry as extended XYZ:
```
4
Lattice="4.7660 0.0000 0.0000 2.3830 4.1274 0.0000 2.3830 1.3758 3.8914" Properties=species:S:1:pos:R:3 pbc="T T T"
Sc 2.3830 1.3758 0.9728
Co 4.7660 2.7516 1.9457
Sm 7.1489 4.1274 2.9185
Li 0.0000 0.0000 0.0000
```